Here is a relaxed structure of BaLa2Ta from the Alexandria database. Energies are from PBE. Values from VASP.

```
&SYSTEM
  ibrav = 0, nat = 4, ntyp = 3
/
ATOMIC_SPECIES
Ba 137.33 Ba.upf
La 138.91 La.upf
Ta 180.95 Ta.upf
CELL_PARAMETERS angstrom
-2.662 2.662 4.494
2.662 -2.662 4.494
2.662 2.662 -4.494
ATOMIC_POSITIONS crystal
Ba 0.000 0.000 0.000
La 0.250 0.750 0.500
La 0.750 0.250 0.500
Ta 0.500 0.500 0.000
```

Energy of formation, eV per atom: 0.685
Volume, A^3/atom: 31.85